1.
Computed, not measured: a relaxed structure of Ac4CoBi2 at the PBE level of DFT.

Computed properties:
- formation energy from the elements (eV/f.u.) = -3.82
- spin magnetization (Bohr magnetons per cell) = 0.0
- VASP energy (eV per atom) = -5.018

```
data_Ac4CoBi2
_chemical_formula_sum 'Ac8 Co2 Bi4'
_cell_length_a 5.295
_cell_length_b 5.295
_cell_length_c 18.317
_cell_angle_alpha 90.00
_cell_angle_beta 90.00
_cell_angle_gamma 90.00
_space_group_name_H-M_alt 'I 4/m m m'
_space_group_IT_number 139
_space_group_name_Hall '-I 4 2'
loop_
_atom_site_label
_atom_site_type_symbol
_atom_site_fract_x
_atom_site_fract_y
_atom_site_fract_z
_atom_site_occupancy
Ac1 Ac 0.000 0.000 0.168 1
Ac2 Ac 0.000 0.500 0.000 1
Co1 Co 0.000 0.000 0.000 1
Bi1 Bi 0.000 0.000 0.359 1
```

2.
Computed, not measured: a relaxed structure of SiNiPb at the PBE level of DFT.

Computed properties:
- spin magnetization (Bohr magnetons per cell) = 0.0
- energy relative to the lowest polymorph listed for this composition (meV/atom) = 48
- VASP energy (eV per atom) = -4.836
- uncorrected formation energy (eV/atom) = 0.135

```
data_SiNiPb
_chemical_formula_sum 'Si2 Ni2 Pb2'
_cell_length_a 3.113
_cell_length_b 3.113
_cell_length_c 11.589
_cell_angle_alpha 90.00
_cell_angle_beta 90.00
_cell_angle_gamma 90.00
_space_group_name_H-M_alt 'I 4 m m'
_space_group_IT_number 107
_space_group_name_Hall 'I 4 -2'
loop_
_atom_site_label
_atom_site_type_symbol
_atom_site_fract_x
_atom_site_fract_y
_atom_site_fract_z
_atom_site_occupancy
Si1 Si 0.000 0.000 0.000 1
Ni1 Ni 0.000 0.000 0.576 1
Pb1 Pb 0.000 0.000 0.275 1
```

3.
Computed, not measured: a relaxed structure of MgH2 at the PBE level of DFT.

Computed properties:
- spin magnetization (Bohr magnetons per cell) = 0.0
- VASP energy (eV per atom) = -2.586

```
data_MgH2
_chemical_formula_sum 'Mg12 H24'
_cell_length_a 6.796
_cell_length_b 6.796
_cell_length_c 6.796
_cell_angle_alpha 90.00
_cell_angle_beta 90.00
_cell_angle_gamma 90.00
_space_group_name_H-M_alt 'F m -3 m'
_space_group_IT_number 225
_space_group_name_Hall '-F 4 2 3'
loop_
_atom_site_label
_atom_site_type_symbol
_atom_site_fract_x
_atom_site_fract_y
_atom_site_fract_z
_atom_site_occupancy
Mg1 Mg 0.000 0.000 0.000 1
Mg2 Mg 0.250 0.250 0.250 1
H1 H 0.000 0.000 0.269 1
```

4.
Computed, not measured: a relaxed structure of Al3ZnFe2 at the PBE level of DFT.

Computed properties:
- formation energy from the elements (eV/f.u.) = -1.43
- spin magnetization (Bohr magnetons per cell) = 0.4
- VASP energy (eV per atom) = -5.142

```
data_Al3ZnFe2
_chemical_formula_sum 'Al3 Zn1 Fe2'
_cell_length_a 2.921
_cell_length_b 2.921
_cell_length_c 9.045
_cell_angle_alpha 90.00
_cell_angle_beta 90.00
_cell_angle_gamma 90.00
_space_group_name_H-M_alt 'P 4/m m m'
_space_group_IT_number 123
_space_group_name_Hall '-P 4 2'
loop_
_atom_site_label
_atom_site_type_symbol
_atom_site_fract_x
_atom_site_fract_y
_atom_site_fract_z
_atom_site_occupancy
Al1 Al 0.000 0.000 0.000 1
Al2 Al 0.000 0.000 0.301 1
Zn1 Zn 0.500 0.500 0.500 1
Fe1 Fe 0.500 0.500 0.160 1
```

5.
Computed, not measured: a relaxed structure of Sr2YHfO6 at the PBE level of DFT.

Computed properties:
- spin magnetization (Bohr magnetons per cell) = 2.2
- VASP energy (eV per atom) = -8.017
- uncorrected formation energy (eV/atom) = -3.064

```
data_Sr2YHfO6
_chemical_formula_sum 'Sr4 Y2 Hf2 O12'
_cell_length_a 5.911
_cell_length_b 6.038
_cell_length_c 10.281
_cell_angle_alpha 90.00
_cell_angle_beta 125.06
_cell_angle_gamma 90.00
_space_group_name_H-M_alt 'P 1 21/c 1'
_space_group_IT_number 14
loop_
_space_group_symop_operation_xyz
'x,y,z'
'-x,-y,-z'
'-x,y+1/2,-z+1/2'
'x,-y+1/2,z+1/2'
loop_
_atom_site_label
_atom_site_type_symbol
_atom_site_fract_x
_atom_site_fract_y
_atom_site_fract_z
_atom_site_occupancy
Sr1 Sr 0.239 0.042 0.251 1
Y1 Y 0.500 0.000 0.000 1
Hf1 Hf 0.000 0.000 0.500 1
O1 O 0.146 0.221 0.949 1
O2 O 0.235 0.700 0.954 1
O3 O 0.331 0.033 0.739 1
```

6.
Computed, not measured: a relaxed structure of CePrN at the PBE level of DFT.

Computed properties:
- spin magnetization (Bohr magnetons per cell) = 0.0
- energy relative to the lowest polymorph listed for this composition (meV/atom) = 2
- VASP energy (eV per atom) = -7.188
- uncorrected formation energy (eV/atom) = -0.842

```
data_CePrN
_chemical_formula_sum 'Ce4 Pr4 N4'
_cell_length_a 11.976
_cell_length_b 3.579
_cell_length_c 6.287
_cell_angle_alpha 90.00
_cell_angle_beta 90.00
_cell_angle_gamma 90.00
_space_group_name_H-M_alt 'P n m a'
_space_group_IT_number 62
loop_
_space_group_symop_operation_xyz
'x,y,z'
'-x,-y,-z'
'-x+1/2,-y,z+1/2'
'x+1/2,y,-z+1/2'
'x+1/2,-y+1/2,-z+1/2'
'-x+1/2,y+1/2,z+1/2'
'-x,y+1/2,-z'
'x,-y+1/2,z'
loop_
_atom_site_label
_atom_site_type_symbol
_atom_site_fract_x
_atom_site_fract_y
_atom_site_fract_z
_atom_site_occupancy
Ce1 Ce 0.238 0.250 0.115 1
Pr1 Pr 0.008 0.250 0.768 1
N1 N 0.139 0.750 0.934 1
```

7.
Computed, not measured: a relaxed structure of AcScTl at the PBE level of DFT.

Computed properties:
- formation energy from the elements (eV/f.u.) = -0.02
- spin magnetization (Bohr magnetons per cell) = 5.5
- energy relative to the lowest polymorph listed for this composition (meV/atom) = 260
- VASP energy (eV per atom) = -4.275

```
data_AcScTl
_chemical_formula_sum 'Ac6 Sc6 Tl6'
_cell_length_a 5.6272
_cell_length_b 5.6272
_cell_length_c 21.5503
_cell_angle_alpha 90.00
_cell_angle_beta 90.00
_cell_angle_gamma 120.00
_space_group_name_H-M_alt 'R -3 m'
_space_group_IT_number 166
_space_group_name_Hall '-R 3 2"'
loop_
_atom_site_label
_atom_site_type_symbol
_atom_site_fract_x
_atom_site_fract_y
_atom_site_fract_z
_atom_site_occupancy
Ac1 Ac 0.0000 0.0000 0.1155 1
Sc1 Sc 0.0000 0.0000 0.2950 1
Tl1 Tl 0.0000 0.0000 0.4274 1
```

8.
Computed, not measured: a relaxed structure of YIrRuPb at the PBE level of DFT.

Computed properties:
- formation energy from the elements (eV/f.u.) = -0.76
- spin magnetization (Bohr magnetons per cell) = 0.0
- energy relative to the lowest polymorph listed for this composition (meV/atom) = 0
- VASP energy (eV per atom) = -7.267

```
data_YIrRuPb
_chemical_formula_sum 'Y4 Ir4 Ru4 Pb4'
_cell_length_a 6.725
_cell_length_b 6.725
_cell_length_c 6.725
_cell_angle_alpha 90.00
_cell_angle_beta 90.00
_cell_angle_gamma 90.00
_space_group_name_H-M_alt 'F -4 3 m'
_space_group_IT_number 216
_space_group_name_Hall 'F -4 2 3'
loop_
_atom_site_label
_atom_site_type_symbol
_atom_site_fract_x
_atom_site_fract_y
_atom_site_fract_z
_atom_site_occupancy
Y1 Y 0.000 0.000 0.000 1
Ir1 Ir 0.250 0.250 0.250 1
Ru1 Ru 0.250 0.250 0.750 1
Pb1 Pb 0.000 0.000 0.500 1
```

9.
Computed, not measured: a relaxed structure of Pm12Al3H5 at the PBE level of DFT.

Computed properties:
- spin magnetization (Bohr magnetons per cell) = 0.0
- VASP energy (eV per atom) = -4.459

```
data_Pm12Al3H5
_chemical_formula_sum 'Pm96 Al24 H40'
_cell_length_a 15.843
_cell_length_b 15.843
_cell_length_c 15.843
_cell_angle_alpha 90.00
_cell_angle_beta 90.00
_cell_angle_gamma 90.00
_space_group_name_H-M_alt 'I a -3 d'
_space_group_IT_number 230
_space_group_name_Hall '-I 4bd 2c 3'
loop_
_atom_site_label
_atom_site_type_symbol
_atom_site_fract_x
_atom_site_fract_y
_atom_site_fract_z
_atom_site_occupancy
Pm1 Pm 0.039 0.058 0.651 1
Al1 Al 0.000 0.250 0.125 1
H1 H 0.000 0.000 0.000 1
H2 H 0.000 0.250 0.375 1
```

10.
Computed, not measured: a relaxed structure of CoTeRu2 at the PBE level of DFT.

Computed properties:
- spin magnetization (Bohr magnetons per cell) = 0.0
- VASP energy (eV per atom) = -6.852
- uncorrected formation energy (eV/atom) = 0.348

```
data_CoTeRu2
_chemical_formula_sum 'Co2 Te2 Ru4'
_cell_length_a 3.917
_cell_length_b 3.917
_cell_length_c 7.616
_cell_angle_alpha 90.00
_cell_angle_beta 90.00
_cell_angle_gamma 90.00
_space_group_name_H-M_alt 'I -4 m 2'
_space_group_IT_number 119
_space_group_name_Hall 'I -4 -2'
loop_
_atom_site_label
_atom_site_type_symbol
_atom_site_fract_x
_atom_site_fract_y
_atom_site_fract_z
_atom_site_occupancy
Co1 Co 0.000 0.000 0.000 1
Te1 Te 0.000 0.500 0.250 1
Ru1 Ru 0.000 0.000 0.500 1
Ru2 Ru 0.000 0.500 0.750 1
```

11.
Computed, not measured: a relaxed structure of Fe2HgBi at the PBE level of DFT.

Computed properties:
- formation energy from the elements (eV/f.u.) = 3.24
- spin magnetization (Bohr magnetons per cell) = 0.0
- energy relative to the lowest polymorph listed for this composition (meV/atom) = 52
- VASP energy (eV per atom) = -4.468

```
data_Fe2HgBi
_chemical_formula_sum 'Fe8 Hg4 Bi4'
_cell_length_a 6.421
_cell_length_b 6.421
_cell_length_c 6.421
_cell_angle_alpha 90.00
_cell_angle_beta 90.00
_cell_angle_gamma 90.00
_space_group_name_H-M_alt 'F m -3 m'
_space_group_IT_number 225
_space_group_name_Hall '-F 4 2 3'
loop_
_atom_site_label
_atom_site_type_symbol
_atom_site_fract_x
_atom_site_fract_y
_atom_site_fract_z
_atom_site_occupancy
Fe1 Fe 0.250 0.250 0.250 1
Hg1 Hg 0.000 0.000 0.000 1
Bi1 Bi 0.000 0.000 0.500 1
```

12.
Computed, not measured: a relaxed structure of Pr4Sb3S at the PBE level of DFT.

Computed properties:
- spin magnetization (Bohr magnetons per cell) = 0.0
- VASP energy (eV per atom) = -5.827
- uncorrected formation energy (eV/atom) = -1.375

```
data_Pr4Sb3S
_chemical_formula_sum 'Pr8 Sb6 S2'
_cell_length_a 7.713
_cell_length_b 8.939
_cell_length_c 7.713
_cell_angle_alpha 90.00
_cell_angle_beta 109.50
_cell_angle_gamma 90.00
_space_group_name_H-M_alt 'P 1 2/c 1'
_space_group_IT_number 13
loop_
_space_group_symop_operation_xyz
'x,y,z'
'-x,-y,-z'
'-x,y,-z+1/2'
'x,-y,z+1/2'
loop_
_atom_site_label
_atom_site_type_symbol
_atom_site_fract_x
_atom_site_fract_y
_atom_site_fract_z
_atom_site_occupancy
Pr1 Pr 0.239 0.119 0.002 1
Pr2 Pr 0.245 0.369 0.493 1
Sb1 Sb 0.000 0.373 0.750 1
Sb2 Sb 0.500 0.124 0.750 1
Sb3 Sb 0.500 0.374 0.250 1
S1 S 0.000 0.122 0.250 1
```

Question: What is the spin magnetization in the first record?
Answer: 0.0 Bohr magnetons per cell

Question: Look up the VASP energy of the third one.
Answer: -2.586 eV per atom

Question: What is the VASP energy in the fifth record?
Answer: -8.017 eV per atom

Question: What is the VASP energy in the eighth record?
Answer: -7.267 eV per atom